(i)
Computed, not measured: crystalline MgHgPO at its relaxed geometry at the PBE level of DFT.

Unit cell a=4.095 b=4.095 c=9.200 alpha=90.00 beta=90.00 gamma=90.00
Sites, in units of the cell vectors:
1 Hg 0.000 0.000 0.500
2 Hg 0.500 0.500 0.500
3 Mg 0.500 0.000 0.009
4 Mg 0.000 0.500 0.991
5 O 0.000 0.000 0.000
6 O 0.500 0.500 0.000
7 P 0.500 0.000 0.314
8 P 0.000 0.500 0.686

Output
SG: P4/nmm (129)

(ii)
Computed, not measured: crystalline MgHgPO at its relaxed geometry at the PBE level of DFT.

Unit cell a=3.340 b=6.964 c=6.403 alpha=90.00 beta=90.00 gamma=90.00
Sites, in units of the cell vectors:
1 Hg 0.500 0.313 0.034
2 Hg 0.500 0.687 0.534
3 Mg 0.000 0.252 0.477
4 Mg 0.000 0.748 0.977
5 O 0.500 0.370 0.398
6 O 0.500 0.630 0.898
7 P 0.000 0.900 0.345
8 P 0.000 0.100 0.845

Output
SG: Pmc2_1 (26)

Most stable of them? (i).